No. 1
VASP calculation (GGA-PBE) on a geometry-optimized CsSnP3 structure.

Cell: 5.266 5.266 5.266 Å, 90.00 90.00 90.00°
Positions (direct):
Cs 0.000 0.000 0.000
Sn 0.500 0.500 0.500
P 0.000 0.500 0.500
P 0.500 0.000 0.500
P 0.500 0.500 0.000

The density is 3918 kg/m³. The calculation puts the density of states at the Fermi level at 6.06 states/eV/f.u. The energy above the lowest structure with this stoichiometry is 0 meV per atom. The calculation puts the calculated volume at 146 Å³/cell.


No. 2
VASP calculation (GGA-PBE) on a geometry-optimized Gd2DyTl structure.

Cell: 4.846 4.846 4.917 Å, 90.00 90.00 90.00°
Positions (direct):
Gd 0.000 0.500 0.000
Gd 0.500 0.000 0.000
Dy 0.000 0.000 0.500
Tl 0.500 0.500 0.500

The density is 9800 kg/m³. The calculation puts the density of states at the Fermi level at 3.58 states/eV/f.u. The energy above the lowest structure with this stoichiometry is 0 meV per atom. The calculation puts the calculated volume at 115 Å³/cell.


No. 3
VASP calculation (GGA-PBE) on a geometry-optimized Nb2TlInSi structure.

Cell: 4.809 4.809 5.028 Å, 90.00 90.00 90.00°
Positions (direct):
Nb 0.000 0.500 0.000
Nb 0.500 0.000 0.000
Tl 0.000 0.000 0.500
In 0.500 0.500 0.500
Si 0.000 0.000 0.000

The density is 7612 kg/m³. The calculation puts the uncorrected formation energy at 0.7796 eV/atom. The calculation puts the density of states at the Fermi level at 3.41 states/eV/f.u. The calculation puts the calculated volume at 116 Å³/cell.


No. 4
VASP calculation (GGA-PBE) on a geometry-optimized Mg2ScAs structure.

Cell: 8.333 8.333 5.405 Å, 90.00 90.00 90.00°
Positions (direct):
Mg 0.186 0.250 0.125
Mg 0.250 0.686 0.375
Mg 0.250 0.814 0.875
Mg 0.314 0.250 0.625
Mg 0.686 0.750 0.625
Mg 0.750 0.186 0.875
Mg 0.750 0.314 0.375
Mg 0.814 0.750 0.125
Sc 0.000 0.000 0.500
Sc 0.000 0.500 0.750
Sc 0.500 0.000 0.250
Sc 0.500 0.500 0.000
As 0.000 0.000 0.000
As 0.000 0.500 0.250
As 0.500 0.000 0.750
As 0.500 0.500 0.500

The density is 2982 kg/m³. The total energy is -61.505 eV for the cell shown. The calculation puts the density of states at the Fermi level at 0.44 states/eV/f.u. The calculation puts the calculated volume at 375 Å³/cell.